Entry from the Alexandria database: an optimized crystal structure of In2AgMo (PBE).

The energy above the most stable polymorph in this dataset comes out at 119 meV/atom. The raw total energy is -4.42 eV/atom. The calculation puts the formation energy from the elements at 0.3698 eV/atom. The magnetic moment is 0.00 μB per cell.

Lattice parameters (Å, degrees): 4.9794 4.9794 5.6681 99.90 99.90 34.48
Positions (direct):
In 0.2492 0.2492 0.2414
In 0.7508 0.7508 0.7586
Ag 0.0000 0.0000 0.5000
Mo 0.5000 0.5000 0.0000